Below is a relaxed structure of Pm2ReTc3, with properties calculated at the GGA-PBE level.

Its magnetic moment is 0.0 μB/f.u. The value obtained for the formation energy is -0.005 eV/atom. The calculation puts the density of states at the Fermi level at 21.35 states/eV/cell. Its calculated volume is 19.37 Å³/atom.

The space group is R-3m (No. 166, hexagonal axes) and the conventional cell measures 5.6210, 5.6210 and 12.7422 Å, with angles of 90.00, 90.00 and 120.00 degrees. Symmetry generates all atoms from Pm at (0.0000, 0.0000, 0.1259), Re at (0.0000, 0.0000, 0.5000) and Tc at (0.0000, 0.5000, 0.0000).